Entry 1:
# Pm3Al2O8

A relaxed structure of Pm3Al2O8 (PBE, Alexandria).

**Calculated total energy**: -7.670 eV per atom

Unit cell a=5.586 b=5.586 c=7.090 alpha=66.80 beta=66.80 gamma=60.00
Positions (direct):
Pm: 0.000 0.000 0.000
Pm: 0.802 0.802 0.595
Pm: 0.198 0.198 0.405
Al: 0.593 0.593 0.222
Al: 0.407 0.407 0.778
O: 0.685 0.685 0.946
O: 0.315 0.315 0.054
O: 0.218 0.737 0.307
O: 0.737 0.218 0.307
O: 0.737 0.737 0.307
O: 0.263 0.782 0.693
O: 0.782 0.263 0.693
O: 0.263 0.263 0.693

=====

Entry 2:
# PmAlO3

A relaxed structure of PmAlO3 (PBE, Alexandria).

**Calculated total energy**: -7.944 eV per atom

Unit cell a=5.337 b=5.337 c=5.337 alpha=90.05 beta=120.30 gamma=119.64
Positions (direct):
Pm: 0.993 0.743 0.750
Pm: 0.007 0.257 0.250
Al: 0.500 0.500 0.000
Al: 0.500 0.000 0.500
O: 0.500 0.288 0.288
O: 0.000 0.712 0.212
O: 0.500 0.712 0.712
O: 0.000 0.288 0.788
O: 0.570 0.820 0.250
O: 0.430 0.180 0.750

=====

Entry 3:
# PmAlO3

A relaxed structure of PmAlO3 (PBE, Alexandria).

**Calculated total energy**: -7.824 eV per atom

Unit cell a=3.359 b=6.675 c=6.009 alpha=90.00 beta=90.00 gamma=104.57
Positions (direct):
Pm: 0.179 0.358 0.750
Pm: 0.821 0.642 0.250
Al: 0.431 0.862 0.750
Al: 0.569 0.138 0.250
O: 0.657 0.315 0.021
O: 0.343 0.685 0.979
O: 0.657 0.315 0.479
O: 0.343 0.685 0.521
O: 0.992 0.983 0.750
O: 0.008 0.017 0.250

=====

Entry 4:
# Pm2PrAlO

A relaxed structure of Pm2PrAlO (PBE, Alexandria).

**Calculated total energy**: -5.919 eV per atom

Unit cell a=4.987 b=4.886 c=4.886 alpha=90.00 beta=90.00 gamma=90.00
Positions (direct):
Pm: 0.000 0.000 0.500
Pm: 0.000 0.500 0.000
Pr: 0.500 0.000 0.000
Al: 0.500 0.500 0.500
O: 0.000 0.000 0.000

=====

Entry 5:
# Pm12PrAl4O3

A relaxed structure of Pm12PrAl4O3 (PBE, Alexandria).

**Calculated total energy**: -5.269 eV per atom

Unit cell a=8.739 b=8.739 c=8.739 alpha=109.47 beta=109.47 gamma=109.47
Positions (direct):
Pm: 0.250 0.500 0.750
Pm: 0.727 0.000 0.727
Pm: 0.273 0.000 0.273
Pm: 0.750 0.500 0.250
Pm: 0.727 0.727 0.000
Pm: 0.273 0.273 0.000
Pm: 0.750 0.250 0.500
Pm: 0.250 0.750 0.500
Pm: 0.500 0.250 0.750
Pm: 0.000 0.727 0.727
Pm: 0.500 0.750 0.250
Pm: 0.000 0.273 0.273
Pr: 0.000 0.000 0.000
Al: 0.500 0.500 0.500
Al: 0.000 0.000 0.500
Al: 0.500 0.000 0.000
Al: 0.000 0.500 0.000
O: 0.500 0.000 0.500
O: 0.500 0.500 0.000
O: 0.000 0.500 0.500

=====

Entry 6:
# PmAlPtO6

A relaxed structure of PmAlPtO6 (PBE, Alexandria).

**Calculated total energy**: -6.826 eV per atom

Unit cell a=5.121 b=5.121 c=5.075 alpha=90.00 beta=90.00 gamma=60.00
Positions (direct):
Pm: 0.000 0.000 0.000
Al: 0.667 0.667 0.500
Pt: 0.333 0.333 0.500
O: 0.990 0.367 0.292
O: 0.367 0.990 0.708
O: 0.642 0.368 0.708
O: 0.990 0.642 0.708
O: 0.367 0.642 0.292
O: 0.642 0.990 0.292

=====

Entry 7:
# PmAlPtO4

A relaxed structure of PmAlPtO4 (PBE, Alexandria).

**Calculated total energy**: -7.007 eV per atom

Unit cell a=5.385 b=5.385 c=7.059 alpha=90.00 beta=90.00 gamma=111.49
Positions (direct):
Pm: 0.500 0.500 0.500
Pm: 0.500 0.500 0.000
Al: 0.127 0.873 0.250
Al: 0.873 0.127 0.750
Pt: 0.788 0.212 0.250
Pt: 0.212 0.788 0.750
O: 0.231 0.244 0.750
O: 0.756 0.769 0.750
O: 0.765 0.235 0.962
O: 0.765 0.235 0.538
O: 0.235 0.765 0.038
O: 0.235 0.765 0.462
O: 0.769 0.756 0.250
O: 0.244 0.231 0.250

=====

Entry 8:
# PmAl4Pt3O12

A relaxed structure of PmAl4Pt3O12 (PBE, Alexandria).

**Calculated total energy**: -6.864 eV per atom

Unit cell a=6.403 b=6.403 c=6.403 alpha=109.47 beta=109.47 gamma=109.47
Positions (direct):
Pm: 0.000 0.000 0.000
Al: 0.500 0.000 0.000
Al: 0.500 0.500 0.500
Al: 0.000 0.500 0.000
Al: 0.000 0.000 0.500
Pt: 0.000 0.500 0.500
Pt: 0.500 0.500 0.000
Pt: 0.500 0.000 0.500
O: 0.296 0.816 0.112
O: 0.704 0.184 0.888
O: 0.704 0.816 0.520
O: 0.888 0.704 0.184
O: 0.816 0.112 0.296
O: 0.184 0.480 0.296
O: 0.480 0.296 0.184
O: 0.184 0.888 0.704
O: 0.296 0.184 0.480
O: 0.112 0.296 0.816
O: 0.816 0.520 0.704
O: 0.520 0.704 0.816

=====

Entry 9:
# PmPuAl2O8

A relaxed structure of PmPuAl2O8 (PBE, Alexandria).

**Calculated total energy**: -8.110 eV per atom

Unit cell a=5.891 b=5.891 c=5.891 alpha=107.45 beta=107.45 gamma=113.60
Positions (direct):
Pm: 0.000 0.000 0.000
Pu: 0.250 0.750 0.500
Al: 0.750 0.250 0.500
Al: 0.500 0.500 0.000
O: 0.380 0.054 0.326
O: 0.323 0.521 0.198
O: 0.323 0.126 0.802
O: 0.729 0.054 0.674
O: 0.874 0.677 0.198
O: 0.946 0.271 0.326
O: 0.946 0.620 0.674
O: 0.479 0.677 0.802

=====

Entry 10:
# Rb2PmAlO4

A relaxed structure of Rb2PmAlO4 (PBE, Alexandria).

**Calculated total energy**: -6.272 eV per atom

Unit cell a=6.107 b=6.107 c=6.107 alpha=88.55 beta=120.84 gamma=120.84
Positions (direct):
Rb: 0.500 0.750 0.250
Rb: 0.000 0.000 0.000
Pm: 0.500 0.250 0.750
Al: 0.000 0.500 0.500
O: 0.660 0.397 0.489
O: 0.092 0.263 0.603
O: 0.908 0.511 0.171
O: 0.340 0.829 0.737

=====

Entry 11:
# RbPm2AlO5

A relaxed structure of RbPm2AlO5 (PBE, Alexandria).

**Calculated total energy**: -7.237 eV per atom

Unit cell a=6.825 b=6.825 c=7.370 alpha=117.58 beta=117.58 gamma=90.00
Positions (direct):
Rb: 0.250 0.250 0.500
Rb: 0.750 0.750 0.500
Pm: 0.183 0.317 0.000
Pm: 0.683 0.183 0.000
Pm: 0.317 0.817 0.000
Pm: 0.817 0.683 0.000
Al: 0.250 0.750 0.500
Al: 0.750 0.250 0.500
O: 0.004 0.504 0.273
O: 0.731 0.231 0.727
O: 0.996 0.496 0.727
O: 0.231 0.996 0.727
O: 0.496 0.731 0.727
O: 0.769 0.004 0.273
O: 0.504 0.269 0.273
O: 0.269 0.769 0.273
O: 0.500 0.500 0.000
O: 0.000 0.000 0.000

=====

Entry 12:
# Rb3PmAl2O6

A relaxed structure of Rb3PmAl2O6 (PBE, Alexandria).

**Calculated total energy**: -6.085 eV per atom

Unit cell a=6.185 b=6.185 c=7.443 alpha=90.00 beta=90.00 gamma=120.00
Positions (direct):
Rb: 0.333 0.667 0.750
Rb: 0.667 0.333 0.250
Rb: 0.000 0.000 0.000
Pm: 0.000 0.000 0.500
Al: 0.667 0.333 0.700
Al: 0.333 0.667 0.300
O: 0.653 0.826 0.301
O: 0.174 0.347 0.301
O: 0.174 0.826 0.301
O: 0.826 0.653 0.699
O: 0.347 0.174 0.699
O: 0.826 0.174 0.699